Entry 1:
# K3Th3InTe8 PBE-GGA relaxed
# - ΔE_f (raw) (eV per atom) = -1.093
data_K3Th3InTe8
_cell_length_a 9.3387
_cell_length_b 9.3387
_cell_length_c 24.3491
_cell_angle_alpha 90.00
_cell_angle_beta 90.00
_cell_angle_gamma 120.00
_space_group_name_H-M_alt 'R -3 m'
_space_group_IT_number 166
_space_group_name_Hall '-R 3 2"'
loop_
_atom_site_label
_atom_site_fract_x
_atom_site_fract_y
_atom_site_fract_z
_atom_site_occupancy
K1 0.0000 0.5000 0.0000 1
Th1 0.0000 0.5000 0.5000 1
In1 0.0000 0.0000 0.5000 1
Te1 0.0000 0.0000 0.2394 1
Te2 0.0206 0.5103 0.7639 1

Entry 2:
# KThIn2Te4 PBE-GGA relaxed
# - ΔE_f (raw) (eV per atom) = -0.746
data_KThIn2Te4
_cell_length_a 8.087
_cell_length_b 4.482
_cell_length_c 8.504
_cell_angle_alpha 90.00
_cell_angle_beta 107.40
_cell_angle_gamma 90.00
_space_group_name_H-M_alt 'P 1 2/m 1'
_space_group_IT_number 10
loop_
_space_group_symop_operation_xyz
'x,y,z'
'-x,-y,-z'
'-x,y,-z'
'x,-y,z'
loop_
_atom_site_label
_atom_site_fract_x
_atom_site_fract_y
_atom_site_fract_z
_atom_site_occupancy
K1 0.000 0.000 0.000 1
Th1 0.000 0.500 0.500 1
In1 0.500 0.000 0.500 1
In2 0.500 0.500 0.000 1
Te1 0.239 0.000 0.717 1
Te2 0.261 0.500 0.292 1

Entry 3:
# KTlInTe3 PBE-GGA relaxed
# - ΔE_f (raw) (eV per atom) = -0.433
data_KTlInTe3
_cell_length_a 9.231
_cell_length_b 4.657
_cell_length_c 10.985
_cell_angle_alpha 90.00
_cell_angle_beta 106.12
_cell_angle_gamma 90.00
_space_group_name_H-M_alt 'P 1 21/m 1'
_space_group_IT_number 11
loop_
_space_group_symop_operation_xyz
'x,y,z'
'-x,-y,-z'
'-x,y+1/2,-z'
'x,-y+1/2,z'
loop_
_atom_site_label
_atom_site_fract_x
_atom_site_fract_y
_atom_site_fract_z
_atom_site_occupancy
K1 0.245 0.250 0.250 1
Tl1 0.330 0.750 0.927 1
In1 0.135 0.250 0.649 1
Te1 0.066 0.250 0.884 1
Te2 0.196 0.750 0.513 1
Te3 0.480 0.250 0.793 1

Entry 4:
# K2TlInTe4 PBE-GGA relaxed
# - ΔE_f (raw) (eV per atom) = -0.612
data_K2TlInTe4
_cell_length_a 8.785
_cell_length_b 8.785
_cell_length_c 7.497
_cell_angle_alpha 90.00
_cell_angle_beta 90.00
_cell_angle_gamma 90.00
_space_group_name_H-M_alt 'I -4 2 m'
_space_group_IT_number 121
_space_group_name_Hall 'I -4 2'
loop_
_atom_site_label
_atom_site_fract_x
_atom_site_fract_y
_atom_site_fract_z
_atom_site_occupancy
K1 0.000 0.500 0.000 1
Tl1 0.000 0.000 0.000 1
In1 0.000 0.000 0.500 1
Te1 0.178 0.178 0.257 1

Entry 5:
# K2TmInTe4 PBE-GGA relaxed
# - ΔE_f (raw) (eV per atom) = -0.951
data_K2TmInTe4
_cell_length_a 8.804
_cell_length_b 8.804
_cell_length_c 7.489
_cell_angle_alpha 90.00
_cell_angle_beta 90.00
_cell_angle_gamma 90.00
_space_group_name_H-M_alt 'I -4 2 m'
_space_group_IT_number 121
_space_group_name_Hall 'I -4 2'
loop_
_atom_site_label
_atom_site_fract_x
_atom_site_fract_y
_atom_site_fract_z
_atom_site_occupancy
K1 0.000 0.500 0.000 1
Tm1 0.000 0.000 0.000 1
In1 0.000 0.000 0.500 1
Te1 0.178 0.178 0.260 1

Entry 6:
# K3Tm2InTe6 PBE-GGA relaxed
# - ΔE_f (raw) (eV per atom) = -1.098
data_K3Tm2InTe6
_cell_length_a 7.712
_cell_length_b 13.354
_cell_length_c 8.645
_cell_angle_alpha 90.00
_cell_angle_beta 107.31
_cell_angle_gamma 90.00
_space_group_name_H-M_alt 'C 1 2/m 1'
_space_group_IT_number 12
loop_
_space_group_symop_operation_xyz
'x,y,z'
'-x,-y,-z'
'-x,y,-z'
'x,-y,z'
'x+1/2,y+1/2,z'
'-x+1/2,-y+1/2,-z'
'-x+1/2,y+1/2,-z'
'x+1/2,-y+1/2,z'
loop_
_atom_site_label
_atom_site_fract_x
_atom_site_fract_y
_atom_site_fract_z
_atom_site_occupancy
K1 0.000 0.000 0.000 1
K2 0.000 0.332 0.000 1
Tm1 0.000 0.166 0.500 1
In1 0.000 0.500 0.500 1
Te1 0.233 0.335 0.704 1
Te2 0.238 0.000 0.704 1

Entry 7:
# K4Tm3InTe8 PBE-GGA relaxed
# - ΔE_f (raw) (eV per atom) = -1.166
data_K4Tm3InTe8
_cell_length_a 8.9050
_cell_length_b 8.9050
_cell_length_c 24.7518
_cell_angle_alpha 90.00
_cell_angle_beta 90.00
_cell_angle_gamma 120.00
_space_group_name_H-M_alt 'R -3 m'
_space_group_IT_number 166
_space_group_name_Hall '-R 3 2"'
loop_
_atom_site_label
_atom_site_fract_x
_atom_site_fract_y
_atom_site_fract_z
_atom_site_occupancy
K1 0.0000 0.0000 0.0000 1
K2 0.0000 0.5000 0.0000 1
Tm1 0.0000 0.5000 0.5000 1
In1 0.0000 0.0000 0.5000 1
Te1 0.0000 0.0000 0.2354 1
Te2 0.0013 0.5007 0.2347 1

Entry 8:
# K2UInTe5 PBE-GGA relaxed
# - ΔE_f (raw) (eV per atom) = -0.692
data_K2UInTe5
_cell_length_a 4.470
_cell_length_b 20.913
_cell_length_c 15.067
_cell_angle_alpha 90.00
_cell_angle_beta 90.00
_cell_angle_gamma 90.00
_space_group_name_H-M_alt 'C m c 21'
_space_group_IT_number 36
loop_
_space_group_symop_operation_xyz
'x,y,z'
'-x,-y,z+1/2'
'-x,y,z'
'x,-y,z+1/2'
'x+1/2,y+1/2,z'
'-x+1/2,-y+1/2,z+1/2'
'-x+1/2,y+1/2,z'
'x+1/2,-y+1/2,z+1/2'
loop_
_atom_site_label
_atom_site_fract_x
_atom_site_fract_y
_atom_site_fract_z
_atom_site_occupancy
K1 0.000 0.119 0.000 1
K2 0.000 0.124 0.642 1
U1 0.000 0.206 0.342 1
In1 0.000 0.438 0.744 1
Te1 0.000 0.057 0.365 1
Te2 0.000 0.296 0.975 1
Te3 0.000 0.301 0.702 1
Te4 0.000 0.342 0.323 1
Te5 0.000 0.499 0.585 1

Entry 9:
# K2UInTe4 PBE-GGA relaxed
# - ΔE_f (raw) (eV per atom) = -0.657
data_K2UInTe4
_cell_length_a 8.711
_cell_length_b 8.711
_cell_length_c 7.631
_cell_angle_alpha 90.00
_cell_angle_beta 90.00
_cell_angle_gamma 90.00
_space_group_name_H-M_alt 'I -4 2 m'
_space_group_IT_number 121
_space_group_name_Hall 'I -4 2'
loop_
_atom_site_label
_atom_site_fract_x
_atom_site_fract_y
_atom_site_fract_z
_atom_site_occupancy
K1 0.000 0.500 0.000 1
U1 0.000 0.000 0.000 1
In1 0.000 0.000 0.500 1
Te1 0.185 0.185 0.271 1

Entry 10:
# K3U3InTe8 PBE-GGA relaxed
# - ΔE_f (raw) (eV per atom) = -0.758
data_K3U3InTe8
_cell_length_a 15.654
_cell_length_b 9.044
_cell_length_c 9.735
_cell_angle_alpha 90.00
_cell_angle_beta 122.40
_cell_angle_gamma 90.00
_space_group_name_H-M_alt 'C 1 2/m 1'
_space_group_IT_number 12
loop_
_space_group_symop_operation_xyz
'x,y,z'
'-x,-y,-z'
'-x,y,-z'
'x,-y,z'
'x+1/2,y+1/2,z'
'-x+1/2,-y+1/2,-z'
'-x+1/2,y+1/2,-z'
'x+1/2,-y+1/2,z'
loop_
_atom_site_label
_atom_site_fract_x
_atom_site_fract_y
_atom_site_fract_z
_atom_site_occupancy
K1 0.000 0.000 0.000 1
K2 0.250 0.250 0.000 1
U1 0.000 0.500 0.500 1
U2 0.250 0.250 0.500 1
In1 0.000 0.000 0.500 1
Te1 0.018 0.258 0.295 1
Te2 0.237 0.500 0.711 1
Te3 0.240 0.000 0.705 1

Entry 11:
# K4U3InTe8 PBE-GGA relaxed
# - ΔE_f (raw) (eV per atom) = -0.817
data_K4U3InTe8
_cell_length_a 9.2856
_cell_length_b 9.2856
_cell_length_c 24.1445
_cell_angle_alpha 90.00
_cell_angle_beta 90.00
_cell_angle_gamma 120.00
_space_group_name_H-M_alt 'R -3 m'
_space_group_IT_number 166
_space_group_name_Hall '-R 3 2"'
loop_
_atom_site_label
_atom_site_fract_x
_atom_site_fract_y
_atom_site_fract_z
_atom_site_occupancy
K1 0.0000 0.0000 0.0000 1
K2 0.0000 0.5000 0.0000 1
U1 0.0000 0.5000 0.5000 1
In1 0.0000 0.0000 0.5000 1
Te1 0.0000 0.0000 0.2365 1
Te2 0.0162 0.5081 0.7650 1

Entry 12:
# K3Y3InTe8 PBE-GGA relaxed
# - ΔE_f (raw) (eV per atom) = -1.113
data_K3Y3InTe8
_cell_length_a 15.217
_cell_length_b 8.762
_cell_length_c 9.922
_cell_angle_alpha 90.00
_cell_angle_beta 120.83
_cell_angle_gamma 90.00
_space_group_name_H-M_alt 'C 1 2/m 1'
_space_group_IT_number 12
loop_
_space_group_symop_operation_xyz
'x,y,z'
'-x,-y,-z'
'-x,y,-z'
'x,-y,z'
'x+1/2,y+1/2,z'
'-x+1/2,-y+1/2,-z'
'-x+1/2,y+1/2,-z'
'x+1/2,-y+1/2,z'
loop_
_atom_site_label
_atom_site_fract_x
_atom_site_fract_y
_atom_site_fract_z
_atom_site_occupancy
K1 0.000 0.000 0.000 1
K2 0.250 0.250 0.000 1
Y1 0.000 0.500 0.500 1
Y2 0.250 0.250 0.500 1
In1 0.000 0.000 0.500 1
Te1 0.014 0.249 0.294 1
Te2 0.234 0.000 0.706 1
Te3 0.237 0.500 0.710 1